1.
Crystalline SnGe2Te at its relaxed geometry. Source: the Alexandria database, functional GGA-PBEsol.

```
SnGe2Te
1.0
-0.336 -0.924 4.932
-1.460 -4.533 1.615
3.313 -3.068 2.215
Ge Te Sn
2 1 1
Direct
0.250 0.250 0.250
0.750 0.750 0.750
0.500 0.500 0.500
0.000 0.000 0.000
```

Calculated values
Density ... 7231 kg/m³
Magnetic moment ... 0.0 μB per cell
Formation energy without anion corrections ... 228.2 meV per atom

---

2.
Crystalline Sn2GeTe3 at its relaxed geometry. Source: the Alexandria database, functional GGA-PBEsol.

```
Sn2GeTe3
1.0
4.341 0.000 0.000
-2.171 3.759 0.000
0.000 0.000 10.730
Ge Te Sn
1 3 2
Direct
0.000 0.000 0.500
0.667 0.333 0.651
0.333 0.667 0.349
0.000 0.000 0.000
0.667 0.333 0.174
0.333 0.667 0.826
```

Calculated values
Density ... 6570 kg/m³
Magnetic moment ... 0.0 μB per cell
Formation energy without anion corrections ... -207.8 meV per atom

---

3.
Crystalline TiSnGe3 at its relaxed geometry. Source: the Alexandria database, functional GGA-PBEsol.

```
TiSnGe3
1.0
-4.547 1.531 -1.777
-2.337 -2.645 3.704
0.190 4.104 3.050
Ge Sn Ti
3 1 1
Direct
0.000 0.500 0.000
0.000 0.000 0.500
0.500 0.000 0.000
0.000 0.000 0.000
0.500 0.500 0.500
```

Calculated values
Density ... 4767 kg/m³
Magnetic moment ... 2.1 μB per cell
Calculated total energy ... -4.274 eV per atom

---

4.
Crystalline TmSnGe at its relaxed geometry. Source: the Alexandria database, functional GGA-PBEsol.

```
TmSnGe
1.0
-2.059 -1.613 3.025
-1.710 -2.780 -2.646
5.084 -6.365 0.067
Tm Sn Ge
2 2 2
Direct
0.250 0.406 0.187
0.750 0.594 0.813
0.250 0.754 0.492
0.750 0.246 0.508
0.250 0.055 0.889
0.750 0.945 0.111
```

Calculated values
Density ... 9049 kg/m³
Magnetic moment ... 0.0 μB per cell
Calculated total energy ... -5.358 eV per atom

---

5.
Crystalline SnGeW3 at its relaxed geometry. Source: the Alexandria database, functional GGA-PBEsol.

```
SnGeW3
1.0
4.588 0.000 0.000
0.000 4.588 0.000
0.000 0.000 4.588
Ge Sn W
1 1 3
Direct
0.000 0.000 0.000
0.500 0.500 0.500
0.000 0.500 0.000
0.000 0.000 0.500
0.500 0.000 0.000
```

Calculated values
Density ... 12775 kg/m³
Magnetic moment ... 0.0 μB per cell
Calculated total energy ... -8.485 eV per atom

---

6.
Crystalline SnGe3W at its relaxed geometry. Source: the Alexandria database, functional GGA-PBEsol.

```
SnGe3W
1.0
4.890 0.000 0.000
0.000 4.890 0.000
0.000 0.000 4.890
Ge Sn W
3 1 1
Direct
0.000 0.500 0.000
0.000 0.000 0.500
0.500 0.000 0.000
0.500 0.500 0.500
0.000 0.000 0.000
```

Calculated values
Density ... 7393 kg/m³
Magnetic moment ... 0.0 μB per cell
Calculated total energy ... -6.061 eV per atom